## P
The following is a PBE calculation of DyYZnPd after structural relaxation, from the Alexandria database.

Summary:
space-group type = P4mm (99)
DOS at the Fermi energy = 3.0 states/eV/f.u.
mass density = 7.92 Mg/m³
spin magnetization = 0.0 μB per cell

Cell: 3.5595 3.5595 7.0035 Å, 90.00 90.00 90.00°
Positions (direct):
1 Zn 0.0000 0.0000 0.8592
2 Pd 0.0000 0.0000 0.3525
3 Dy 0.5000 0.5000 0.1122
4 Y 0.5000 0.5000 0.6041

=====

## Q
The following is a PBE calculation of DyYZnPd after structural relaxation, from the Alexandria database.

Summary:
space-group type = F-43m (216)
DOS at the Fermi energy = 2.5 states/eV/f.u.
mass density = 7.91 Mg/m³
spin magnetization = 0.0 μB per cell

Cell: 5.0097 5.0097 5.0097 Å, 60.00 60.00 60.00°
Positions (direct):
1 Y 0.7500 0.7500 0.7500
2 Zn 0.0000 0.0000 0.0000
3 Pd 0.5000 0.5000 0.5000
4 Dy 0.2500 0.2500 0.2500

=====

Most stable structure: P

=====

## P
The following is a PBE calculation of Dy3Zn4Pd2 after structural relaxation, from the Alexandria database.

Summary:
space-group type = C2/m (12)
DOS at the Fermi energy = 6.0 states/eV/f.u.
mass density = 8.91 Mg/m³
spin magnetization = 0.0 μB per cell

Cell: 4.8082 5.0850 8.4343 Å, 98.40 90.00 118.22°
Positions (direct):
1 Pd 0.2889 0.5779 0.6168
2 Pd 0.7111 0.4221 0.3832
3 Zn 0.9304 0.8609 0.6239
4 Zn 0.6903 0.3806 0.0758
5 Zn 0.3097 0.6194 0.9242
6 Zn 0.0696 0.1391 0.3761
7 Dy 0.3781 0.7562 0.2871
8 Dy 0.0000 0.0000 0.0000
9 Dy 0.6219 0.2438 0.7129

=====

## Q
The following is a PBE calculation of Dy3Zn4Pd2 after structural relaxation, from the Alexandria database.

Summary:
space-group type = C2/m (12)
DOS at the Fermi energy = 5.6 states/eV/f.u.
mass density = 8.91 Mg/m³
spin magnetization = 0.0 μB per cell

Cell: 4.4547 5.7308 8.0891 Å, 73.54 74.02 67.13°
Positions (direct):
1 Dy 0.0000 0.0000 0.0000
2 Dy 0.3187 0.7161 0.6464
3 Dy 0.6813 0.2839 0.3536
4 Zn 0.0288 0.3118 0.6307
5 Zn 0.7182 0.6127 0.9509
6 Zn 0.2818 0.3873 0.0491
7 Zn 0.9712 0.6882 0.3693
8 Pd 0.5950 0.0722 0.7379
9 Pd 0.4050 0.9278 0.2621

=====

Most stable structure: Q

=====

## P
The following is a PBE calculation of Dy2ZnPd3 after structural relaxation, from the Alexandria database.

Summary:
space-group type = Pnma (62)
DOS at the Fermi energy = 1.7 states/eV/f.u.
mass density = 9.98 Mg/m³
spin magnetization = 0.0 μB per cell

Cell: 3.8301 7.1648 17.2091 Å, 90.00 90.00 90.00°
Positions (direct):
1 Dy 0.2500 0.1598 0.9297
2 Dy 0.2500 0.6087 0.7907
3 Dy 0.7500 0.3402 0.4297
4 Dy 0.7500 0.8913 0.2907
5 Dy 0.7500 0.8402 0.0703
6 Dy 0.7500 0.3913 0.2093
7 Dy 0.2500 0.6598 0.5703
8 Dy 0.2500 0.1087 0.7093
9 Zn 0.7500 0.0116 0.5598
10 Zn 0.2500 0.9884 0.4402
11 Zn 0.7500 0.5116 0.9402
12 Zn 0.2500 0.4884 0.0598
13 Pd 0.2500 0.6972 0.1861
14 Pd 0.7500 0.8028 0.6861
15 Pd 0.7500 0.3028 0.8139
16 Pd 0.2500 0.1972 0.3139
17 Pd 0.2500 0.2551 0.5520
18 Pd 0.7500 0.7449 0.4480
19 Pd 0.7500 0.2449 0.0520
20 Pd 0.2500 0.5868 0.3444
21 Pd 0.2500 0.7551 0.9480
22 Pd 0.7500 0.4132 0.6556
23 Pd 0.2500 0.0868 0.1556
24 Pd 0.7500 0.9132 0.8444

=====

## Q
The following is a PBE calculation of Dy2ZnPd3 after structural relaxation, from the Alexandria database.

Summary:
space-group type = Immm (71)
DOS at the Fermi energy = 2.9 states/eV/f.u.
mass density = 9.44 Mg/m³
spin magnetization = 0.0 μB per cell

Cell: 4.4698 5.4331 6.2273 Å, 115.86 111.03 90.00°
Positions (direct):
1 Dy 0.6890 0.1890 0.3781
2 Dy 0.3110 0.8110 0.6219
3 Pd 0.0000 0.0000 0.0000
4 Pd 0.3699 0.3699 0.7398
5 Pd 0.6301 0.6301 0.2602
6 Zn 0.0000 0.5000 0.0000

=====

Most stable structure: P